Record 1
Density functional theory data (GGA-PBE) for a relaxed structure of PaVPt2.

Values from the calculation:
Calculated density: 14378 kg/m³
E above lowest polymorph: 0.0083 eV/atom
V: 19.4 Å³/atom
Energy relative to the elements: -0.630 eV per atom
Electronic total energy: -99.6 eV for the cell shown

Geometry as CIF:
```
data_PaVPt2
_chemical_formula_sum 'Pa3 V3 Pt6'
_symmetry_space_group_name_H-M 'P 1'
_symmetry_Int_Tables_number 1
_cell_length_a 4.439
_cell_length_b 4.439
_cell_length_c 13.649
_cell_angle_alpha 90.00
_cell_angle_beta 90.00
_cell_angle_gamma 120.00
loop_
_symmetry_equiv_pos_as_xyz
'x,y,z'
loop_
_atom_site_label
_atom_site_type_symbol
_atom_site_fract_x
_atom_site_fract_y
_atom_site_fract_z
Pa1 Pa 0.000 0.000 0.000
Pa2 Pa 0.333 0.667 0.667
Pa3 Pa 0.667 0.333 0.333
V1 V 0.000 0.000 0.500
V2 V 0.333 0.667 0.167
V3 V 0.667 0.333 0.833
Pt1 Pt 0.000 0.000 0.216
Pt2 Pt 0.000 0.000 0.784
Pt3 Pt 0.333 0.667 0.450
Pt4 Pt 0.333 0.667 0.883
Pt5 Pt 0.667 0.333 0.117
Pt6 Pt 0.667 0.333 0.550
```


Record 2
Density functional theory data (GGA-PBE) for a relaxed structure of PaV4Pt.

Values from the calculation:
Calculated density: 10941 kg/m³
V: 15.9 Å³/atom
Energy relative to the elements: -0.017 eV per atom
Electronic total energy: -52.1 eV for the cell shown

Geometry as CIF:
```
data_PaV4Pt
_chemical_formula_sum 'Pa1 V4 Pt1'
_symmetry_space_group_name_H-M 'P 1'
_symmetry_Int_Tables_number 1
_cell_length_a 5.132
_cell_length_b 5.132
_cell_length_c 5.132
_cell_angle_alpha 60.00
_cell_angle_beta 60.00
_cell_angle_gamma 60.00
loop_
_symmetry_equiv_pos_as_xyz
'x,y,z'
loop_
_atom_site_label
_atom_site_type_symbol
_atom_site_fract_x
_atom_site_fract_y
_atom_site_fract_z
Pa1 Pa 0.000 0.000 0.000
V1 V 0.375 0.375 0.375
V2 V 0.375 0.375 0.876
V3 V 0.375 0.876 0.375
V4 V 0.876 0.375 0.375
Pt1 Pt 0.750 0.750 0.750
```


Record 3
Density functional theory data (GGA-PBE) for a relaxed structure of Pa2VPt.

Values from the calculation:
Calculated density: 14409 kg/m³
E above lowest polymorph: 0.3599 eV/atom
V: 20.4 Å³/atom
Energy relative to the elements: 0.181 eV per atom
Electronic total energy: -100.3 eV for the cell shown

Geometry as CIF:
```
data_Pa2VPt
_chemical_formula_sum 'Pa6 V3 Pt3'
_symmetry_space_group_name_H-M 'P 1'
_symmetry_Int_Tables_number 1
_cell_length_a 3.005
_cell_length_b 3.005
_cell_length_c 31.296
_cell_angle_alpha 90.00
_cell_angle_beta 90.00
_cell_angle_gamma 120.00
loop_
_symmetry_equiv_pos_as_xyz
'x,y,z'
loop_
_atom_site_label
_atom_site_type_symbol
_atom_site_fract_x
_atom_site_fract_y
_atom_site_fract_z
Pa1 Pa 0.000 0.000 0.088
Pa2 Pa 0.000 0.000 0.912
Pa3 Pa 0.333 0.667 0.579
Pa4 Pa 0.333 0.667 0.755
Pa5 Pa 0.667 0.333 0.245
Pa6 Pa 0.667 0.333 0.421
V1 V 0.000 0.000 0.500
V2 V 0.333 0.667 0.167
V3 V 0.667 0.333 0.833
Pt1 Pt 0.000 0.000 0.000
Pt2 Pt 0.333 0.667 0.667
Pt3 Pt 0.667 0.333 0.333
```


Record 4
Density functional theory data (GGA-PBE) for a relaxed structure of PaVPt2.

Values from the calculation:
Calculated density: 15731 kg/m³
E above lowest polymorph: 0.0000 eV/atom
V: 17.7 Å³/atom
Energy relative to the elements: -0.638 eV per atom
Electronic total energy: -33.2 eV for the cell shown

Geometry as CIF:
```
data_PaVPt2
_chemical_formula_sum 'Pa1 V1 Pt2'
_symmetry_space_group_name_H-M 'P 1'
_symmetry_Int_Tables_number 1
_cell_length_a 4.099
_cell_length_b 4.099
_cell_length_c 4.223
_cell_angle_alpha 90.00
_cell_angle_beta 90.00
_cell_angle_gamma 90.00
loop_
_symmetry_equiv_pos_as_xyz
'x,y,z'
loop_
_atom_site_label
_atom_site_type_symbol
_atom_site_fract_x
_atom_site_fract_y
_atom_site_fract_z
Pa1 Pa 0.000 0.000 0.000
V1 V 0.500 0.500 0.000
Pt1 Pt 0.000 0.500 0.500
Pt2 Pt 0.500 0.000 0.500
```


Record 5
Density functional theory data (GGA-PBE) for a relaxed structure of PaPtW.

Values from the calculation:
Calculated density: 16913 kg/m³
V: 20.0 Å³/atom
Energy relative to the elements: -0.256 eV per atom
Electronic total energy: -117.0 eV for the cell shown

Geometry as CIF:
```
data_PaPtW
_chemical_formula_sum 'Pa4 Pt4 W4'
_symmetry_space_group_name_H-M 'P 1'
_symmetry_Int_Tables_number 1
_cell_length_a 10.747
_cell_length_b 3.281
_cell_length_c 7.704
_cell_angle_alpha 90.00
_cell_angle_beta 118.15
_cell_angle_gamma 90.00
loop_
_symmetry_equiv_pos_as_xyz
'x,y,z'
loop_
_atom_site_label
_atom_site_type_symbol
_atom_site_fract_x
_atom_site_fract_y
_atom_site_fract_z
Pa1 Pa 0.068 0.000 0.286
Pa2 Pa 0.432 0.500 0.714
Pa3 Pa 0.568 0.500 0.286
Pa4 Pa 0.932 0.000 0.714
Pt1 Pt 0.138 0.500 0.650
Pt2 Pt 0.362 0.000 0.350
Pt3 Pt 0.638 0.000 0.650
Pt4 Pt 0.862 0.500 0.350
W1 W 0.176 0.500 0.058
W2 W 0.324 0.000 0.942
W3 W 0.676 0.000 0.058
W4 W 0.824 0.500 0.942
```


Record 6
Density functional theory data (GGA-PBE) for a relaxed structure of YPaPt3.

Values from the calculation:
Calculated density: 13960 kg/m³
V: 21.5 Å³/atom
Energy relative to the elements: -1.111 eV per atom
Electronic total energy: -79.3 eV for the cell shown

Geometry as CIF:
```
data_YPaPt3
_chemical_formula_sum 'Y2 Pa2 Pt6'
_symmetry_space_group_name_H-M 'P 1'
_symmetry_Int_Tables_number 1
_cell_length_a 4.242
_cell_length_b 5.676
_cell_length_c 8.945
_cell_angle_alpha 90.00
_cell_angle_beta 90.00
_cell_angle_gamma 90.00
loop_
_symmetry_equiv_pos_as_xyz
'x,y,z'
loop_
_atom_site_label
_atom_site_type_symbol
_atom_site_fract_x
_atom_site_fract_y
_atom_site_fract_z
Y1 Y 0.250 0.250 0.055
Y2 Y 0.750 0.750 0.945
Pa1 Pa 0.250 0.750 0.391
Pa2 Pa 0.750 0.250 0.609
Pt1 Pt 0.250 0.250 0.389
Pt2 Pt 0.250 0.502 0.772
Pt3 Pt 0.250 0.998 0.772
Pt4 Pt 0.750 0.002 0.228
Pt5 Pt 0.750 0.498 0.228
Pt6 Pt 0.750 0.750 0.611
```


Record 7
Density functional theory data (GGA-PBE) for a relaxed structure of YPaPt2.

Values from the calculation:
Calculated density: 12210 kg/m³
E above lowest polymorph: 0.1051 eV/atom
V: 24.1 Å³/atom
Energy relative to the elements: -1.014 eV per atom
Electronic total energy: -96.3 eV for the cell shown

Geometry as CIF:
```
data_YPaPt2
_chemical_formula_sum 'Y3 Pa3 Pt6'
_symmetry_space_group_name_H-M 'P 1'
_symmetry_Int_Tables_number 1
_cell_length_a 3.975
_cell_length_b 3.975
_cell_length_c 21.169
_cell_angle_alpha 90.00
_cell_angle_beta 90.00
_cell_angle_gamma 120.00
loop_
_symmetry_equiv_pos_as_xyz
'x,y,z'
loop_
_atom_site_label
_atom_site_type_symbol
_atom_site_fract_x
_atom_site_fract_y
_atom_site_fract_z
Y1 Y 0.000 0.000 0.000
Y2 Y 0.333 0.667 0.667
Y3 Y 0.667 0.333 0.333
Pa1 Pa 0.000 0.000 0.171
Pa2 Pa 0.333 0.667 0.838
Pa3 Pa 0.667 0.333 0.505
Pt1 Pt 0.000 0.000 0.582
Pt2 Pt 0.000 0.000 0.758
Pt3 Pt 0.333 0.667 0.249
Pt4 Pt 0.333 0.667 0.424
Pt5 Pt 0.667 0.333 0.091
Pt6 Pt 0.667 0.333 0.916
```


Record 8
Density functional theory data (GGA-PBE) for a relaxed structure of YPaPt6.

Values from the calculation:
Calculated density: 17333 kg/m³
V: 17.8 Å³/atom
Energy relative to the elements: -1.064 eV per atom
Electronic total energy: -60.7 eV for the cell shown

Geometry as CIF:
```
data_YPaPt6
_chemical_formula_sum 'Y1 Pa1 Pt6'
_symmetry_space_group_name_H-M 'P 1'
_symmetry_Int_Tables_number 1
_cell_length_a 4.155
_cell_length_b 4.155
_cell_length_c 8.272
_cell_angle_alpha 90.00
_cell_angle_beta 90.00
_cell_angle_gamma 90.00
loop_
_symmetry_equiv_pos_as_xyz
'x,y,z'
loop_
_atom_site_label
_atom_site_type_symbol
_atom_site_fract_x
_atom_site_fract_y
_atom_site_fract_z
Y1 Y 0.000 0.000 0.000
Pa1 Pa 0.000 0.000 0.500
Pt1 Pt 0.000 0.500 0.254
Pt2 Pt 0.000 0.500 0.746
Pt3 Pt 0.500 0.000 0.254
Pt4 Pt 0.500 0.000 0.746
Pt5 Pt 0.500 0.500 0.000
Pt6 Pt 0.500 0.500 0.500
```


Record 9
Density functional theory data (GGA-PBE) for a relaxed structure of YPaPt2.

Values from the calculation:
Calculated density: 13106 kg/m³
E above lowest polymorph: 0.0000 eV/atom
V: 22.5 Å³/atom
Energy relative to the elements: -1.119 eV per atom
Electronic total energy: -65.0 eV for the cell shown

Geometry as CIF:
```
data_YPaPt2
_chemical_formula_sum 'Y2 Pa2 Pt4'
_symmetry_space_group_name_H-M 'P 1'
_symmetry_Int_Tables_number 1
_cell_length_a 5.787
_cell_length_b 4.353
_cell_length_c 7.570
_cell_angle_alpha 90.00
_cell_angle_beta 109.33
_cell_angle_gamma 90.00
loop_
_symmetry_equiv_pos_as_xyz
'x,y,z'
loop_
_atom_site_label
_atom_site_type_symbol
_atom_site_fract_x
_atom_site_fract_y
_atom_site_fract_z
Y1 Y 0.214 0.250 0.177
Y2 Y 0.786 0.750 0.823
Pa1 Pa 0.233 0.250 0.684
Pa2 Pa 0.767 0.750 0.316
Pt1 Pt 0.304 0.750 0.457
Pt2 Pt 0.320 0.750 0.947
Pt3 Pt 0.680 0.250 0.053
Pt4 Pt 0.696 0.250 0.543
```


Record 10
Density functional theory data (GGA-PBE) for a relaxed structure of YPa2Pt9.

Values from the calculation:
Calculated density: 17719 kg/m³
V: 18.0 Å³/atom
Energy relative to the elements: -1.007 eV per atom
Electronic total energy: -91.9 eV for the cell shown

Geometry as CIF:
```
data_YPa2Pt9
_chemical_formula_sum 'Y1 Pa2 Pt9'
_symmetry_space_group_name_H-M 'P 1'
_symmetry_Int_Tables_number 1
_cell_length_a 4.170
_cell_length_b 4.170
_cell_length_c 12.432
_cell_angle_alpha 90.00
_cell_angle_beta 90.00
_cell_angle_gamma 90.00
loop_
_symmetry_equiv_pos_as_xyz
'x,y,z'
loop_
_atom_site_label
_atom_site_type_symbol
_atom_site_fract_x
_atom_site_fract_y
_atom_site_fract_z
Y1 Y 0.000 0.000 0.000
Pa1 Pa 0.000 0.000 0.331
Pa2 Pa 0.000 0.000 0.669
Pt1 Pt 0.000 0.500 0.168
Pt2 Pt 0.000 0.500 0.500
Pt3 Pt 0.000 0.500 0.832
Pt4 Pt 0.500 0.000 0.168
Pt5 Pt 0.500 0.000 0.500
Pt6 Pt 0.500 0.000 0.832
Pt7 Pt 0.500 0.500 0.000
Pt8 Pt 0.500 0.500 0.333
Pt9 Pt 0.500 0.500 0.667
```


Record 11
Density functional theory data (GGA-PBE) for a relaxed structure of Y2PaPt3.

Values from the calculation:
Calculated density: 11449 kg/m³
V: 24.0 Å³/atom
Energy relative to the elements: -1.083 eV per atom
Electronic total energy: -188.2 eV for the cell shown

Geometry as CIF:
```
data_Y2PaPt3
_chemical_formula_sum 'Y8 Pa4 Pt12'
_symmetry_space_group_name_H-M 'P 1'
_symmetry_Int_Tables_number 1
_cell_length_a 13.499
_cell_length_b 12.874
_cell_length_c 7.074
_cell_angle_alpha 79.38
_cell_angle_beta 69.62
_cell_angle_gamma 31.00
loop_
_symmetry_equiv_pos_as_xyz
'x,y,z'
loop_
_atom_site_label
_atom_site_type_symbol
_atom_site_fract_x
_atom_site_fract_y
_atom_site_fract_z
Y1 Y 0.043 0.043 0.207
Y2 Y 0.126 0.126 0.624
Y3 Y 0.207 0.207 0.043
Y4 Y 0.376 0.376 0.874
Y5 Y 0.624 0.624 0.126
Y6 Y 0.793 0.793 0.957
Y7 Y 0.874 0.874 0.376
Y8 Y 0.957 0.957 0.793
Pa1 Pa 0.291 0.291 0.459
Pa2 Pa 0.459 0.459 0.291
Pa3 Pa 0.541 0.541 0.709
Pa4 Pa 0.709 0.709 0.541
Pt1 Pt 0.041 0.537 0.220
Pt2 Pt 0.138 0.612 0.612
Pt3 Pt 0.220 0.701 0.041
Pt4 Pt 0.299 0.780 0.463
Pt5 Pt 0.388 0.862 0.862
Pt6 Pt 0.463 0.959 0.299
Pt7 Pt 0.537 0.041 0.701
Pt8 Pt 0.612 0.138 0.138
Pt9 Pt 0.701 0.220 0.537
Pt10 Pt 0.780 0.299 0.959
Pt11 Pt 0.862 0.388 0.388
Pt12 Pt 0.959 0.463 0.780
```


Record 12
Density functional theory data (GGA-PBE) for a relaxed structure of Y2PaPt.

Values from the calculation:
Calculated density: 9315 kg/m³
V: 26.9 Å³/atom
Energy relative to the elements: -0.065 eV per atom
Electronic total energy: -86.2 eV for the cell shown

Geometry as CIF:
```
data_Y2PaPt
_chemical_formula_sum 'Y6 Pa3 Pt3'
_symmetry_space_group_name_H-M 'P 1'
_symmetry_Int_Tables_number 1
_cell_length_a 3.408
_cell_length_b 3.408
_cell_length_c 32.117
_cell_angle_alpha 90.00
_cell_angle_beta 90.00
_cell_angle_gamma 120.00
loop_
_symmetry_equiv_pos_as_xyz
'x,y,z'
loop_
_atom_site_label
_atom_site_type_symbol
_atom_site_fract_x
_atom_site_fract_y
_atom_site_fract_z
Y1 Y 0.000 0.000 0.103
Y2 Y 0.000 0.000 0.897
Y3 Y 0.333 0.667 0.564
Y4 Y 0.333 0.667 0.769
Y5 Y 0.667 0.333 0.231
Y6 Y 0.667 0.333 0.436
Pa1 Pa 0.000 0.000 0.000
Pa2 Pa 0.333 0.667 0.667
Pa3 Pa 0.667 0.333 0.333
Pt1 Pt 0.000 0.000 0.500
Pt2 Pt 0.333 0.667 0.167
Pt3 Pt 0.667 0.333 0.833
```